Entry 1:
Ho4MgTe5 | Alexandria via LeMat-Bulk | GGA-PBE | optimized geometry; ρ = 7.693 g/cm³; formation energy from raw total energies = -11.5 eV per formula unit; spin magnetization = 0.0 μB per formula unit
1.0
-4.843 4.843 3.042
4.843 -4.843 3.042
4.843 4.843 -3.042
Ho Mg Te
4 1 5
Cartesian
3.036 0.883 0.000
3.960 -1.807 3.042
0.883 6.649 0.000
1.807 3.960 3.042
0.000 0.000 3.095
0.000 0.000 0.031
5.834 2.099 -0.001
2.099 3.852 -0.001
2.744 0.991 3.041
-0.991 2.744 3.041

***

Entry 2:
TaPbCl2 | Alexandria via LeMat-Bulk | GGA-PBE | optimized geometry; ρ = 7.867 g/cm³; formation energy from raw total energies = -0.6 eV per formula unit; spin magnetization = 0.0 μB per formula unit; offset from the most stable computed form = 343 meV per atom
1.0
3.114 0.000 0.000
0.000 3.938 0.000
0.000 0.000 7.901
Ta Pb Cl
1 1 2
Cartesian
0.000 0.000 0.000
1.557 1.969 5.535
0.000 0.000 2.399
1.557 1.969 0.780

***

Entry 3:
Np2ZnAs | Alexandria via LeMat-Bulk | GGA-PBE | optimized geometry; ρ = 15.093 g/cm³; spin magnetization = 0.0 μB per formula unit; formation energy from the elements = 0.055 eV/atom
1.0
3.704 0.000 0.000
0.000 3.704 0.000
0.000 0.000 4.927
Np Zn As
2 1 1
Cartesian
0.000 1.852 0.000
1.852 0.000 0.000
0.000 0.000 2.463
1.852 1.852 2.463